First-principles (PBE-GGA) data for an optimized crystal structure of RbErHg, as listed in the Open Quantum Materials Database.

Properties
E = -1.353 eV per atom
Magnetization = 0.0 μB per formula unit
Symmetry = F-43m (216)

```
data_RbErHg
_cell_length_a 5.3504
_cell_length_b 5.3504
_cell_length_c 5.3504
_cell_angle_alpha 60.00
_cell_angle_beta 60.00
_cell_angle_gamma 60.00
_space_group_name_H-M_alt 'P 1'
_space_group_IT_number 1
loop_
_space_group_symop_operation_xyz
'x,y,z'
loop_
_atom_site_label
_atom_site_type_symbol
_atom_site_fract_x
_atom_site_fract_y
_atom_site_fract_z
_atom_site_occupancy
Rb1 Rb 0.0000 0.0000 0.0000 1
Er1 Er 0.7500 0.7500 0.7500 1
Hg1 Hg 0.5000 0.5000 0.5000 1
```